A plane-wave DFT calculation with GGA-PBE was carried out for Ac2PBr3 after structural relaxation.

Computed properties:
Density of states at the Fermi level ... 0.000 states/eV/atom
E_form (uncorrected) ... -171.29 kJ/mol of atoms

abc: 19.281 4.461 14.475
angles: 90.00 126.57 90.00
Space group C2/m (No. 12)
Unique sites:
Ac 0.125 0.000 0.395 (multiplicity 4)
Ac 0.244 0.000 0.750 (multiplicity 4)
P 0.204 0.500 0.575 (multiplicity 4)
Br 0.066 0.000 0.694 (multiplicity 4)
Br 0.073 0.500 0.206 (multiplicity 4)
Br 0.181 0.000 0.070 (multiplicity 4)



A plane-wave DFT calculation with GGA-PBE was carried out for NpCd2O5 after structural relaxation.

Computed properties:
Density of states at the Fermi level ... 0.035 states/eV/atom
E_form (uncorrected) ... -180.43 kJ/mol of atoms

abc: 4.156 7.021 9.259
angles: 90.00 90.00 90.00
Space group Immm (No. 71)
Unique sites:
Np 0.000 0.000 0.000 (multiplicity 2)
Cd 0.000 0.500 0.182 (multiplicity 4)
O 0.000 0.000 0.228 (multiplicity 4)
O 0.000 0.288 0.000 (multiplicity 4)
O 0.000 0.500 0.500 (multiplicity 2)



A plane-wave DFT calculation with GGA-PBE was carried out for Pr3Dy2Y6Ho after structural relaxation.

Computed properties:
Density of states at the Fermi level ... 1.390 states/eV/atom
Energy of formation ... 0.019 eV per atom

abc: 6.243 10.808 11.880
angles: 90.00 100.05 90.00
Space group C2/m (No. 12)
Unique sites:
Pr 0.000 0.000 0.000 (multiplicity 2)
Pr 0.000 0.333 0.000 (multiplicity 4)
Dy 0.000 0.167 0.500 (multiplicity 4)
Y 0.248 0.333 0.746 (multiplicity 8)
Y 0.249 0.000 0.746 (multiplicity 4)
Ho 0.000 0.500 0.500 (multiplicity 2)



A plane-wave DFT calculation with GGA-PBE was carried out for BaPmPaO6 after structural relaxation.

Computed properties:
Density of states at the Fermi level ... 0.713 states/eV/atom
E_form (uncorrected) ... -258.66 kJ/mol of atoms

abc: 6.2314 6.2314 4.8163
angles: 90.00 90.00 120.00
Space group P312 (No. 149)
Unique sites:
Ba 0.0000 0.0000 0.0000 (multiplicity 1)
Pm 0.6667 0.3333 0.0000 (multiplicity 1)
Pa 0.3333 0.6667 0.5000 (multiplicity 1)
O 0.0189 0.3941 0.7458 (multiplicity 6)



What did the fourth record say?
A plane-wave DFT calculation with GGA-PBE was carried out for BaPmPaO6 after structural relaxation.

Computed properties:
Density of states at the Fermi level ... 0.713 states/eV/atom
E_form (uncorrected) ... -258.66 kJ/mol of atoms

abc: 6.2314 6.2314 4.8163
angles: 90.00 90.00 120.00
Space group P312 (No. 149)
Unique sites:
Ba 0.0000 0.0000 0.0000 (multiplicity 1)
Pm 0.6667 0.3333 0.0000 (multiplicity 1)
Pa 0.3333 0.6667 0.5000 (multiplicity 1)
O 0.0189 0.3941 0.7458 (multiplicity 6)



Which of these has the highest density of states at the Fermi level?
Pr3Dy2Y6Ho



What is the density of states at the Fermi level in the fourth record?
0.713 states/eV/atom